# Ba2Hg2As | Alexandria via LeMat-Bulk | PBE-GGA | optimized geometry
# M_tot (μB/f.u.): 0.000
# DFT formation energy (meV per atom): -613
# Relative energy among the computed polymorphs (meV/atom): 0
# Calculated total energy (eV per cell): -24.3
data_Ba2Hg2As
_chemical_formula_sum 'Ba4 Hg4 As2'
_cell_length_a 4.2539
_cell_length_b 4.2539
_cell_length_c 19.3903
_cell_angle_alpha 90.00
_cell_angle_beta 90.00
_cell_angle_gamma 90.00
_symmetry_space_group_name_H-M 'I 4/m m m'
_symmetry_Int_Tables_number 139
_symmetry_space_group_name_Hall '-I 4 2'
loop_
_atom_site_label
_atom_site_type_symbol
_atom_site_fract_x
_atom_site_fract_y
_atom_site_fract_z
Ba1 Ba 0.0000 0.0000 0.0890
Hg1 Hg 0.0000 0.5000 0.2500
As1 As 0.0000 0.0000 0.5000